Compound: Fe2TcGe2
Source: the Alexandria database
Functional: GGA-PBE
Structure: relaxed Values from VASP.

The structure in Quantum ESPRESSO input format:
```
&SYSTEM
  ibrav = 0, nat = 10, ntyp = 3
/
ATOMIC_SPECIES
Ge 72.64 Ge.upf
Fe 55.84 Fe.upf
Tc 98.00 Tc.upf
CELL_PARAMETERS angstrom
-4.4970 -4.8232 2.1230
5.1988 -4.5168 0.7506
0.3376 0.8151 2.5670
ATOMIC_POSITIONS crystal
Ge 0.3275 0.1725 0.5000
Ge 0.6725 0.8275 0.5000
Fe 0.8753 0.6247 0.0000
Tc 0.0000 0.0000 0.0000
Fe 0.3753 0.8753 0.0000
Ge 0.8275 0.3275 0.5000
Fe 0.6247 0.1247 0.0000
Ge 0.1725 0.6725 0.5000
Fe 0.1247 0.3753 0.0000
Tc 0.5000 0.5000 0.0000
```

Results
The value obtained for the formation energy is 0.22 eV per atom. The energy above the lowest structure with this stoichiometry comes out at 0.154 eV/atom.

Compound: Cu2PAu
Source: the Alexandria database
Functional: GGA-PBE
Structure: relaxed Values from VASP.

The structure in Quantum ESPRESSO input format:
```
&SYSTEM
  ibrav = 0, nat = 4, ntyp = 3
/
ATOMIC_SPECIES
P 30.97 P.upf
Cu 63.55 Cu.upf
Au 196.97 Au.upf
CELL_PARAMETERS angstrom
4.7849 -0.0107 0.0000
1.7851 4.4394 0.0000
-3.2850 -2.2144 2.6834
ATOMIC_POSITIONS crystal
P 0.5000 0.5000 0.0000
Cu 0.2500 0.7500 0.5000
Au 0.7500 0.2500 0.5000
Cu 0.0000 0.0000 0.0000
```

Results
The value obtained for the formation energy is 0.17 eV per atom.

Compound: CdRhSe4
Source: the Alexandria database
Functional: GGA-PBE
Structure: relaxed Values from VASP.

The structure in Quantum ESPRESSO input format:
```
&SYSTEM
  ibrav = 0, nat = 6, ntyp = 3
/
ATOMIC_SPECIES
Rh 102.91 Rh.upf
Cd 112.41 Cd.upf
Se 78.96 Se.upf
CELL_PARAMETERS angstrom
-4.0849 -3.7032 -1.2266
-5.2009 0.7421 2.0747
-4.2258 1.4924 -3.4381
ATOMIC_POSITIONS crystal
Rh 0.0000 0.0000 0.0000
Cd 0.7500 0.7500 0.7500
Se 0.3742 0.8773 0.3742
Se 0.3742 0.3742 0.3742
Se 0.8773 0.3742 0.3742
Se 0.3742 0.3742 0.8773
```

Results
For the uncorrected formation energy, the calculation gives 0.717 eV per atom.

Compound: La4ErMg
Source: the Alexandria database
Functional: GGA-PBE
Structure: relaxed Values from VASP.

The structure in Quantum ESPRESSO input format:
```
&SYSTEM
  ibrav = 0, nat = 12, ntyp = 3
/
ATOMIC_SPECIES
La 138.91 La.upf
Mg 24.30 Mg.upf
Er 167.26 Er.upf
CELL_PARAMETERS angstrom
9.0633 0.5451 0.0000
-1.2128 6.5256 0.0000
-3.9252 -3.5353 6.8108
ATOMIC_POSITIONS crystal
La 0.6333 0.3535 0.1076
La 0.3667 0.6465 0.8924
La 0.1034 0.3655 0.3743
La 0.0257 0.2459 0.8924
Mg 0.4076 0.6576 0.3152
La 0.8966 0.6345 0.6257
Er 0.3551 0.1051 0.2102
La 0.7709 0.0088 0.3743
Er 0.6449 0.8949 0.7898
Mg 0.5924 0.3424 0.6848
La 0.2291 0.9912 0.6257
La 0.9743 0.7541 0.1076
```

Results
The value obtained for the formation energy is 0.05 eV per atom. The energy above the lowest structure with this stoichiometry comes out at 0.073 eV/atom.

Compound: Nd5As2ClO10
Source: the Alexandria database
Functional: GGA-PBE
Structure: relaxed Values from VASP.

The structure in Quantum ESPRESSO input format:
```
&SYSTEM
  ibrav = 0, nat = 18, ntyp = 4
/
ATOMIC_SPECIES
Nd 144.24 Nd.upf
O 16.00 O.upf
As 74.92 As.upf
Cl 35.45 Cl.upf
CELL_PARAMETERS angstrom
-2.0940 -2.7333 -5.9607
2.0787 -5.6638 -3.3144
-5.6378 -7.0961 1.0315
ATOMIC_POSITIONS crystal
Nd 0.2546 0.2546 0.1263
O 0.3767 0.9062 0.7540
O 0.6393 0.6393 0.4021
O 0.6233 0.0938 0.2460
Nd 0.4995 0.4995 0.7076
O 0.9062 0.3767 0.7540
O 0.3607 0.3607 0.5979
O 0.6261 0.1333 0.9148
Nd 0.5005 0.5005 0.2924
Nd 0.7454 0.7454 0.8737
O 0.1333 0.6261 0.9148
O 0.3739 0.8667 0.0852
Nd 0.0000 0.0000 0.0000
O 0.8667 0.3739 0.0852
O 0.0938 0.6233 0.2460
As 0.7858 0.7858 0.3923
As 0.2142 0.2142 0.6077
Cl 0.0000 0.0000 0.5000
```

Results
For the uncorrected formation energy, the calculation gives -2.807 eV per atom.

Compound: AlZnNi6
Source: the Alexandria database
Functional: GGA-PBE
Structure: relaxed Values from VASP.

The structure in Quantum ESPRESSO input format:
```
&SYSTEM
  ibrav = 0, nat = 8, ntyp = 3
/
ATOMIC_SPECIES
Al 26.98 Al.upf
Zn 65.41 Zn.upf
Ni 58.69 Ni.upf
CELL_PARAMETERS angstrom
3.5716 0.0000 0.0000
0.0000 3.5716 0.0000
0.0000 0.0000 7.1425
ATOMIC_POSITIONS crystal
Al 0.0000 0.0000 0.0000
Zn 0.0000 0.0000 0.5000
Ni 0.0000 0.5000 0.7518
Ni 0.5000 0.5000 0.5000
Ni 0.0000 0.5000 0.2482
Ni 0.5000 0.0000 0.7518
Ni 0.5000 0.0000 0.2482
Ni 0.5000 0.5000 0.0000
```

Results
The value obtained for the formation energy is -0.27 eV per atom.

Compound: Ac8HgAu2
Source: the Alexandria database
Functional: GGA-PBE
Structure: relaxed Values from VASP.

The structure in Quantum ESPRESSO input format:
```
&SYSTEM
  ibrav = 0, nat = 11, ntyp = 3
/
ATOMIC_SPECIES
Ac 227.00 Ac.upf
Au 196.97 Au.upf
Hg 200.59 Hg.upf
CELL_PARAMETERS angstrom
-0.7317 -1.0253 5.5029
-2.8780 -6.8314 -1.6555
10.3563 -0.6168 -1.6334
ATOMIC_POSITIONS crystal
Ac 0.0278 0.7758 0.0556
Ac 0.9722 0.2242 0.9444
Ac 0.6730 0.9936 0.3459
Ac 0.8008 0.6515 0.6017
Ac 0.1992 0.3485 0.3983
Ac 0.4083 0.5299 0.8166
Ac 0.5917 0.4701 0.1834
Au 0.1769 0.7428 0.3537
Au 0.8231 0.2572 0.6463
Ac 0.3270 0.0064 0.6541
Hg 0.5000 0.0000 0.0000
```

Results
The value obtained for the formation energy is -0.33 eV per atom. The energy above the lowest structure with this stoichiometry comes out at 0.000 eV/atom.

Compound: Tb2GaBi
Source: the Alexandria database
Functional: GGA-PBE
Structure: relaxed Values from VASP.

The structure in Quantum ESPRESSO input format:
```
&SYSTEM
  ibrav = 0, nat = 4, ntyp = 3
/
ATOMIC_SPECIES
Tb 158.93 Tb.upf
Bi 208.98 Bi.upf
Ga 69.72 Ga.upf
CELL_PARAMETERS angstrom
4.9646 0.0000 0.0000
-2.4823 3.0121 -0.6668
0.0000 -2.5020 7.9666
ATOMIC_POSITIONS crystal
Tb 0.7438 0.4877 0.7679
Tb 0.2562 0.5123 0.2321
Bi 0.0000 0.0000 0.5000
Ga 0.5000 0.0000 0.0000
```

Results
The value obtained for the formation energy is -0.58 eV per atom. The energy above the lowest structure with this stoichiometry comes out at 0.125 eV/atom.

Compound: BaLa
Source: the Alexandria database
Functional: GGA-PBE
Structure: relaxed Values from VASP.

The structure in Quantum ESPRESSO input format:
```
&SYSTEM
  ibrav = 0, nat = 8, ntyp = 2
/
ATOMIC_SPECIES
Ba 137.33 Ba.upf
La 138.91 La.upf
CELL_PARAMETERS angstrom
-7.1788 -0.3591 -0.7179
0.6631 -6.2936 -3.4829
-0.4609 -3.5936 6.4059
ATOMIC_POSITIONS crystal
Ba 0.6816 0.6816 0.5000
Ba 0.3184 0.3184 0.5000
Ba 0.8184 0.1816 0.0000
Ba 0.1816 0.8184 0.0000
La 0.6492 0.6492 0.0000
La 0.8508 0.1492 0.5000
La 0.3508 0.3508 0.0000
La 0.1492 0.8508 0.5000
```

Results
The value obtained for the formation energy is 0.52 eV per atom. The energy above the lowest structure with this stoichiometry comes out at 0.422 eV/atom.

Compound: KBa3
Source: the Alexandria database
Functional: GGA-PBE
Structure: relaxed Values from VASP.

The structure in Quantum ESPRESSO input format:
```
&SYSTEM
  ibrav = 0, nat = 4, ntyp = 2
/
ATOMIC_SPECIES
K 39.10 K.upf
Ba 137.33 Ba.upf
CELL_PARAMETERS angstrom
4.8248 0.0000 0.0000
0.0000 7.3726 0.0000
0.0000 0.0000 7.3723
ATOMIC_POSITIONS crystal
K 0.0000 0.0000 0.9197
Ba 0.5000 0.5000 0.9137
Ba 0.0000 0.5000 0.4140
Ba 0.5000 0.0000 0.4194
```

Results
The value obtained for the formation energy is 0.08 eV per atom. The energy above the lowest structure with this stoichiometry comes out at 0.038 eV/atom.

Compound: BeAg2Pt
Source: the Alexandria database
Functional: GGA-PBE
Structure: relaxed Values from VASP.

The structure in Quantum ESPRESSO input format:
```
&SYSTEM
  ibrav = 0, nat = 4, ntyp = 3
/
ATOMIC_SPECIES
Be 9.01 Be.upf
Ag 107.87 Ag.upf
Pt 195.08 Pt.upf
CELL_PARAMETERS angstrom
4.1694 0.0000 0.0000
0.0000 2.8900 -0.0056
0.0000 1.5387 5.0092
ATOMIC_POSITIONS crystal
Be 0.5000 0.2500 0.2500
Ag 0.0000 0.3940 0.4809
Ag 0.0000 0.1060 0.0191
Pt 0.5000 0.7500 0.7500
```

Results
The value obtained for the formation energy is 0.07 eV per atom.

Compound: LiU4
Source: the Alexandria database
Functional: GGA-PBE
Structure: relaxed Values from VASP.

The structure in Quantum ESPRESSO input format:
```
&SYSTEM
  ibrav = 0, nat = 5, ntyp = 2
/
ATOMIC_SPECIES
U 238.03 U.upf
Li 6.94 Li.upf
CELL_PARAMETERS angstrom
4.7590 0.0000 0.0000
0.0000 4.7590 0.0000
0.0000 0.0000 4.7590
ATOMIC_POSITIONS crystal
U 0.5000 0.5000 0.0000
U 0.0000 0.0000 0.0000
U 0.5000 0.0000 0.5000
U 0.0000 0.5000 0.5000
Li 0.5000 0.5000 0.5000
```

Results
The value obtained for the formation energy is 1.33 eV per atom.

Calculated total energy values (in eV per atom) by entry order: -7.09; -4.05; -2.98; -4.26; -7.51; -5.23; -3.94; -4.62; -2.91; -1.63; -3.80; -8.09.